Record 1
PuPaSbAu after structural relaxation. Source: the Alexandria database, functional GGA-PBE.

a = 7.4174 Å, b = 7.4174 Å, c = 7.4174 Å
α = 90.00°, β = 90.00°, γ = 90.00°
Last column: nearest neighbours and their distance in Å.
Space group F-43m (No. 216)
One atom of each set of equivalent atoms:
Pu: 0.0000 0.0000 0.0000 (multiplicity 4)  4 Sb 3.21, 4 Au 3.21
Pa: 0.0000 0.0000 0.5000 (multiplicity 4)  4 Sb 3.21, 4 Au 3.21
Sb: 0.2500 0.2500 0.2500 (multiplicity 4)  4 Pa 3.21, 4 Pu 3.21
Au: 0.2500 0.2500 0.7500 (multiplicity 4)  4 Pa 3.21, 4 Pu 3.21

Properties
E_form (uncorrected) in eV per atom: -0.348
Crystal system: cubic

---

Record 2
PuPaSiAu after structural relaxation. Source: the Alexandria database, functional GGA-PBE.

a = 7.1364 Å, b = 7.1364 Å, c = 7.1364 Å
α = 90.00°, β = 90.00°, γ = 90.00°
Last column: nearest neighbours and their distance in Å.
Space group F-43m (No. 216)
One atom of each set of equivalent atoms:
Pu: 0.0000 0.0000 0.0000 (multiplicity 4)  4 Si 3.09, 4 Au 3.09
Pa: 0.0000 0.0000 0.5000 (multiplicity 4)  4 Si 3.09, 4 Au 3.09
Si: 0.2500 0.2500 0.7500 (multiplicity 4)  4 Pa 3.09, 4 Pu 3.09
Au: 0.2500 0.2500 0.2500 (multiplicity 4)  4 Pa 3.09, 4 Pu 3.09

Properties
E_form (uncorrected) in eV per atom: -0.239
Crystal system: cubic

---

Record 3
PuPaSnAu after structural relaxation. Source: the Alexandria database, functional GGA-PBE.

a = 7.4158 Å, b = 7.4158 Å, c = 7.4158 Å
α = 90.00°, β = 90.00°, γ = 90.00°
Last column: nearest neighbours and their distance in Å.
Space group F-43m (No. 216)
One atom of each set of equivalent atoms:
Pu: 0.0000 0.0000 0.0000 (multiplicity 4)  4 Au 3.21, 4 Sn 3.21
Pa: 0.0000 0.0000 0.5000 (multiplicity 4)  4 Sn 3.21, 4 Au 3.21
Sn: 0.2500 0.2500 0.2500 (multiplicity 4)  4 Pa 3.21, 4 Pu 3.21
Au: 0.2500 0.2500 0.7500 (multiplicity 4)  4 Pa 3.21, 4 Pu 3.21

Properties
Formation enthalpy at 0 K in eV/atom: -0.2059
Crystal system: cubic

---

Record 4
PuPaTeAu after structural relaxation. Source: the Alexandria database, functional GGA-PBE.

a = 7.4084 Å, b = 7.4084 Å, c = 7.4084 Å
α = 90.00°, β = 90.00°, γ = 90.00°
Last column: nearest neighbours and their distance in Å.
Space group F-43m (No. 216)
One atom of each set of equivalent atoms:
Pu: 0.0000 0.0000 0.0000 (multiplicity 4)  4 Te 3.21, 4 Au 3.21
Pa: 0.0000 0.0000 0.5000 (multiplicity 4)  4 Te 3.21, 4 Au 3.21
Te: 0.2500 0.2500 0.2500 (multiplicity 4)  4 Pa 3.21, 4 Pu 3.21
Au: 0.2500 0.2500 0.7500 (multiplicity 4)  4 Pa 3.21, 4 Pu 3.21

Properties
E_form (uncorrected) in eV per atom: -0.426
Crystal system: cubic

---

Record 5
PuThPaAu after structural relaxation. Source: the Alexandria database, functional GGA-PBE.

a = 7.3105 Å, b = 7.3105 Å, c = 7.3105 Å
α = 90.00°, β = 90.00°, γ = 90.00°
Last column: nearest neighbours and their distance in Å.
Space group F-43m (No. 216)
One atom of each set of equivalent atoms:
Pu: 0.0000 0.0000 0.0000 (multiplicity 4)  4 Pa 3.17, 4 Au 3.17
Th: 0.0000 0.0000 0.5000 (multiplicity 4)  4 Au 3.17, 4 Pa 3.17
Pa: 0.2500 0.2500 0.7500 (multiplicity 4)  4 Th 3.17, 4 Pu 3.17
Au: 0.2500 0.2500 0.2500 (multiplicity 4)  4 Th 3.17, 4 Pu 3.17

Properties
Formation enthalpy at 0 K in eV/atom: 0.0144
Crystal system: cubic

---

Record 6
PuPaTlAu after structural relaxation. Source: the Alexandria database, functional GGA-PBE.

a = 7.4304 Å, b = 7.4304 Å, c = 7.4304 Å
α = 90.00°, β = 90.00°, γ = 90.00°
Last column: nearest neighbours and their distance in Å.
Space group F-43m (No. 216)
One atom of each set of equivalent atoms:
Pu: 0.0000 0.0000 0.0000 (multiplicity 4)  4 Tl 3.22, 4 Au 3.22
Pa: 0.0000 0.0000 0.5000 (multiplicity 4)  4 Tl 3.22, 4 Au 3.22
Tl: 0.2500 0.2500 0.2500 (multiplicity 4)  4 Pa 3.22, 4 Pu 3.22
Au: 0.2500 0.2500 0.7500 (multiplicity 4)  4 Pu 3.22, 4 Pa 3.22

Properties
Formation enthalpy at 0 K in eV/atom: 0.0170
Crystal system: cubic

---

Record 7
Pu2PaZn2Au2 after structural relaxation. Source: the Alexandria database, functional GGA-PBE.

a = 10.0206 Å, b = 4.9332 Å, c = 5.9252 Å
α = 90.00°, β = 91.73°, γ = 90.00°
Last column: nearest neighbours and their distance in Å.
Space group C2/m (No. 12)
One atom of each set of equivalent atoms:
Pu: 0.1574 0.0000 0.4194 (multiplicity 4)  1 Pa 2.90, 5 Zn 3.14-3.22, 3 Au 3.19-3.24, 2 Pu 3.21
Pa: 0.0000 0.0000 0.0000 (multiplicity 2)  2 Pu 2.90, 4 Zn 3.07, 6 Au 3.10-3.19
Zn: 0.0391 0.5000 0.6998 (multiplicity 4)  1 Zn 2.47, 2 Au 2.71-2.74
Au: 0.1962 0.5000 0.0861 (multiplicity 4)  2 Zn 2.71-2.74, 2 Au 2.89

Properties
Formation enthalpy at 0 K in eV/atom: -0.2524
Crystal system: monoclinic

---

Record 8
RbPa2AuS8 after structural relaxation. Source: the Alexandria database, functional GGA-PBE.

a = 6.3145 Å, b = 6.3145 Å, c = 8.8652 Å
α = 90.00°, β = 90.00°, γ = 120.00°
Last column: nearest neighbours and their distance in Å.
Space group P-3m1 (No. 164)
One atom of each set of equivalent atoms:
Rb: 0.0000 0.0000 0.0000 (multiplicity 1)  12 S 3.67-3.80
Pa: 0.3333 0.6667 0.3903 (multiplicity 2)  1 S 2.40
Au: 0.0000 0.0000 0.5000 (multiplicity 1)  6 S 2.40
S: 0.1813 0.3626 0.6521 (multiplicity 6)  1 Au 2.40
S: 0.3333 0.6667 0.1192 (multiplicity 2)  1 Pa 2.40

Properties
E_form (uncorrected) in eV per atom: -0.804
Crystal system: trigonal

---

Record 9
Rb2PaAuS4 after structural relaxation. Source: the Alexandria database, functional GGA-PBE.

a = 7.6454 Å, b = 7.6454 Å, c = 8.8031 Å
α = 90.00°, β = 90.00°, γ = 90.00°
Last column: nearest neighbours and their distance in Å.
Space group I-4 (No. 82)
One atom of each set of equivalent atoms:
Rb: 0.0000 0.0000 0.0000 (multiplicity 2)  4 S 3.25
Rb: 0.0000 0.5000 0.2500 (multiplicity 2)  8 S 3.55-3.76
Pa: 0.0000 0.5000 0.7500 (multiplicity 2)  4 S 2.54
Au: 0.0000 0.0000 0.5000 (multiplicity 2)  4 S 2.55
S: 0.1624 0.2678 0.5997 (multiplicity 8)  1 Pa 2.54, 1 Au 2.55

Properties
E_form (uncorrected) in eV per atom: -0.992
Crystal system: tetragonal

---

Record 10
RbPa2Au2Se6 after structural relaxation. Source: the Alexandria database, functional GGA-PBE.

a = 7.6033 Å, b = 7.7680 Å, c = 7.8200 Å
α = 64.43°, β = 62.08°, γ = 60.83°
Last column: nearest neighbours and their distance in Å.
Space group P-1 (No. 2)
One atom of each set of equivalent atoms:
Rb: 0.0000 0.0000 0.0000 (multiplicity 1)  6 Se 3.32-3.37
Pa: 0.3389 0.3420 0.9748 (multiplicity 2)  6 Se 2.80-2.87
Au: 0.4691 0.6733 0.5491 (multiplicity 2)  3 Se 2.54-2.70
Se: 0.0678 0.6795 0.7728 (multiplicity 2)  1 Au 2.70, 2 Pa 2.80-2.83
Se: 0.2923 0.5514 0.2269 (multiplicity 2)  1 Au 2.58, 2 Pa 2.83-2.87
Se: 0.4810 0.0449 0.7725 (multiplicity 2)  1 Au 2.54

Properties
E_form (uncorrected) in eV per atom: -0.945
Crystal system: triclinic

---

Record 11
Rb2PaAu2Se6 after structural relaxation. Source: the Alexandria database, functional GGA-PBE.

a = 14.4380 Å, b = 6.0783 Å, c = 9.5329 Å
α = 90.00°, β = 119.60°, γ = 90.00°
Last column: nearest neighbours and their distance in Å.
Space group C2/m (No. 12)
One atom of each set of equivalent atoms:
Rb: 0.1966 0.0000 0.1915 (multiplicity 4)  7 Se 3.57-3.74, 2 Au 3.77
Pa: 0.0000 0.0000 0.5000 (multiplicity 2)  6 Se 2.68-2.85
Au: 0.1015 0.5000 0.3186 (multiplicity 4)  3 Se 2.45-2.56
Se: 0.0604 0.2460 0.7868 (multiplicity 8)  1 Au 2.56, 1 Pa 2.85
Se: 0.2067 0.0000 0.5852 (multiplicity 4)  1 Au 2.45, 1 Pa 2.68

Properties
E_form (uncorrected) in eV per atom: -0.716
Crystal system: monoclinic

---

Record 12
RbPaAu2Se4 after structural relaxation. Source: the Alexandria database, functional GGA-PBE.

a = 6.1382 Å, b = 9.0681 Å, c = 9.5681 Å
α = 90.00°, β = 90.00°, γ = 90.00°
Last column: nearest neighbours and their distance in Å.
Space group I222 (No. 23)
One atom of each set of equivalent atoms:
Rb: 0.0000 0.0000 0.0000 (multiplicity 2)  8 Se 3.73-3.78
Pa: 0.0000 0.0000 0.5000 (multiplicity 2)  4 Se 2.71
Au: 0.0000 0.5000 0.1533 (multiplicity 4)  2 Se 2.48
Se: 0.2061 0.1853 0.3216 (multiplicity 8)  1 Au 2.48, 1 Pa 2.71

Properties
E_form (uncorrected) in eV per atom: -0.744
Crystal system: orthorhombic